Entry 1:
Material: SrSiTe2I
Method: DFT, GGA-PBE
State: relaxed

a = 6.303 Å, b = 6.303 Å, c = 6.120 Å
α = 90.00°, β = 90.00°, γ = 90.00°
Fractional positions:
Sr (0.000, 0.000, 0.000)
Si (0.500, 0.500, 0.500)
Te (0.000, 0.500, 0.000)
Te (0.500, 0.000, 0.000)
I (0.000, 0.000, 0.500)

## Properties
offset from the most stable computed form = 0.9219 eV/atom
space group = P4/mmm (123)
E_tot = -12.817 eV per cell

Entry 2:
Material: Y2SnPd4
Method: DFT, GGA-PBE
State: relaxed

a = 4.596 Å, b = 4.596 Å, c = 8.252 Å
α = 105.98°, β = 105.98°, γ = 59.83°
Fractional positions:
Y (0.072, 0.072, 0.215)
Y (0.928, 0.928, 0.785)
Sn (0.500, 0.500, 0.500)
Pd (0.199, 0.199, 0.598)
Pd (0.325, 0.325, 0.976)
Pd (0.675, 0.675, 0.024)
Pd (0.801, 0.801, 0.402)

## Properties
offset from the most stable computed form = 0.0000 eV/atom
ΔE_f = -5.65 eV per formula unit
space group = C2/m (12)
E_tot = -43.354 eV per cell

Number 1: total moment 0.85 μB/f.u.. Number 2: total moment 0.00 μB/f.u..